A plane-wave DFT calculation with GGA-PBE was carried out for a relaxed structure of SrLiPb.

abc: 6.397 6.397 4.017
angles: 71.70 71.70 36.59
Positions (direct):
Li 0.964 0.964 0.036
Pb 0.364 0.364 0.636
Sr 0.672 0.672 0.328

Summary:
size of the total moment = 0.00 μB/cell
DFT total energy = -8.2 eV for the cell shown
symmetry = No. 107
energy of formation = -0.303 eV/atom